Here is crystalline Al19Co6 at its relaxed geometry from Alexandria via LeMat-Bulk. Energies are from PBEsol.

Properties
- V: 14.2 Å³/atom
- ΔE_f: -961.8 kJ/mol of formula units
- VASP energy: -5.365 eV/atom
- Total magnetization: 0.000 μB per atom
- Space group: C2/m

The structure in CIF format:
```
data_Al19Co6
_symmetry_space_group_name_H-M 'P 1'
_symmetry_Int_Tables_number 1
_cell_length_a 8.520
_cell_length_b 8.520
_cell_length_c 12.347
_cell_angle_alpha 106.14
_cell_angle_beta 106.14
_cell_angle_gamma 56.42
loop_
_symmetry_equiv_pos_as_xyz
'x,y,z'
loop_
_atom_site_label
_atom_site_fract_x
_atom_site_fract_y
_atom_site_fract_z
_atom_site_occupancy
Al1 0.038 0.592 0.886 1
Al2 0.045 0.599 0.664 1
Al3 0.067 0.067 0.173 1
Al4 0.078 0.078 0.580 1
Al5 0.090 0.090 0.785 1
Al6 0.156 0.586 0.110 1
Al7 0.179 0.566 0.476 1
Al8 0.233 0.233 0.519 1
Al9 0.243 0.243 0.976 1
Al10 0.249 0.751 0.000 1
Al11 0.272 0.713 0.331 1
Al12 0.287 0.287 0.762 1
Al13 0.287 0.728 0.669 1
Al14 0.319 0.319 0.271 1
Al15 0.401 0.955 0.336 1
Al16 0.408 0.962 0.114 1
Al17 0.414 0.844 0.890 1
Al18 0.434 0.821 0.524 1
Al19 0.473 0.473 0.832 1
Al20 0.527 0.527 0.168 1
Al21 0.566 0.179 0.476 1
Al22 0.586 0.156 0.110 1
Al23 0.592 0.038 0.886 1
Al24 0.599 0.045 0.664 1
Al25 0.681 0.681 0.729 1
Al26 0.713 0.272 0.331 1
Al27 0.713 0.713 0.238 1
Al28 0.728 0.287 0.669 1
Al29 0.751 0.249 0.000 1
Al30 0.757 0.757 0.024 1
Al31 0.767 0.767 0.481 1
Al32 0.821 0.434 0.524 1
Al33 0.844 0.414 0.890 1
Al34 0.910 0.910 0.215 1
Al35 0.922 0.922 0.420 1
Al36 0.933 0.933 0.827 1
Al37 0.955 0.401 0.336 1
Al38 0.962 0.408 0.114 1
Co1 0.049 0.602 0.280 1
Co2 0.080 0.080 0.380 1
Co3 0.091 0.091 0.984 1
Co4 0.391 0.391 0.631 1
Co5 0.398 0.951 0.720 1
Co6 0.400 0.400 0.984 1
Co7 0.600 0.600 0.016 1
Co8 0.602 0.049 0.280 1
Co9 0.609 0.609 0.369 1
Co10 0.909 0.909 0.016 1
Co11 0.920 0.920 0.620 1
Co12 0.951 0.398 0.720 1
```

***

Here is crystalline AlCo at its relaxed geometry from Alexandria via LeMat-Bulk. Energies are from PBEsol.

Properties
- V: 11.2 Å³/atom
- ΔE_f: -120.4 kJ/mol of formula units
- VASP energy: -6.538 eV/atom
- Total magnetization: 0.000 μB per atom
- Space group: Pm-3m

The structure in CIF format:
```
data_AlCo
_symmetry_space_group_name_H-M 'P 1'
_symmetry_Int_Tables_number 1
_cell_length_a 2.822
_cell_length_b 2.822
_cell_length_c 2.822
_cell_angle_alpha 90.00
_cell_angle_beta 90.00
_cell_angle_gamma 90.00
loop_
_symmetry_equiv_pos_as_xyz
'x,y,z'
loop_
_atom_site_label
_atom_site_fract_x
_atom_site_fract_y
_atom_site_fract_z
_atom_site_occupancy
Al1 0.000 0.000 0.000 1
Co1 0.500 0.500 0.500 1
```

***

Here is crystalline AlCo4 at its relaxed geometry from Alexandria via LeMat-Bulk. Energies are from PBEsol.

Properties
- V: 10.8 Å³/atom
- ΔE_f: -75.6 kJ/mol of formula units
- Relative energy among the computed polymorphs: 0.000 eV per atom
- VASP energy: -7.165 eV/atom
- Total magnetization: 1.001 μB per atom
- Space group: I4/m

The structure in CIF format:
```
data_AlCo4
_symmetry_space_group_name_H-M 'P 1'
_symmetry_Int_Tables_number 1
_cell_length_a 4.291
_cell_length_b 4.291
_cell_length_c 4.291
_cell_angle_alpha 99.71
_cell_angle_beta 99.71
_cell_angle_gamma 131.51
loop_
_symmetry_equiv_pos_as_xyz
'x,y,z'
loop_
_atom_site_label
_atom_site_fract_x
_atom_site_fract_y
_atom_site_fract_z
_atom_site_occupancy
Al1 0.000 0.000 0.000 1
Co1 0.196 0.405 0.601 1
Co2 0.405 0.804 0.209 1
Co3 0.595 0.196 0.791 1
Co4 0.804 0.595 0.399 1
```

***

Here is crystalline Al3Co2 at its relaxed geometry from Alexandria via LeMat-Bulk. Energies are from PBEsol.

Properties
- V: 12.3 Å³/atom
- ΔE_f: -193.7 kJ/mol of formula units
- VASP energy: -5.951 eV/atom
- Total magnetization: 0.000 μB per atom
- Space group: Fdd2

The structure in CIF format:
```
data_Al3Co2
_symmetry_space_group_name_H-M 'P 1'
_symmetry_Int_Tables_number 1
_cell_length_a 6.661
_cell_length_b 4.829
_cell_length_c 7.546
_cell_angle_alpha 60.49
_cell_angle_beta 39.12
_cell_angle_gamma 80.38
loop_
_symmetry_equiv_pos_as_xyz
'x,y,z'
loop_
_atom_site_label
_atom_site_fract_x
_atom_site_fract_y
_atom_site_fract_z
_atom_site_occupancy
Al1 0.000 0.000 0.000 1
Al2 0.250 0.250 0.250 1
Al3 0.407 0.596 0.369 1
Al4 0.596 0.407 0.629 1
Al5 0.621 0.881 0.654 1
Al6 0.881 0.621 0.843 1
Co1 0.038 0.441 0.080 1
Co2 0.170 0.809 0.212 1
Co3 0.441 0.038 0.441 1
Co4 0.809 0.170 0.809 1
```

***

Here is crystalline AlCrCo6 at its relaxed geometry from Alexandria via LeMat-Bulk. Energies are from PBEsol.

Properties
- V: 10.3 Å³/atom
- ΔE_f: -94.5 kJ/mol of formula units
- VASP energy: -7.717 eV/atom
- Total magnetization: 0.084 μB per atom
- Space group: Cmmm

The structure in CIF format:
```
data_AlCrCo6
_symmetry_space_group_name_H-M 'P 1'
_symmetry_Int_Tables_number 1
_cell_length_a 5.981
_cell_length_b 5.981
_cell_length_c 9.794
_cell_angle_alpha 90.00
_cell_angle_beta 90.00
_cell_angle_gamma 109.52
loop_
_symmetry_equiv_pos_as_xyz
'x,y,z'
loop_
_atom_site_label
_atom_site_fract_x
_atom_site_fract_y
_atom_site_fract_z
_atom_site_occupancy
Al1 0.000 0.000 0.250 1
Al2 0.000 0.000 0.750 1
Al3 0.250 0.750 0.000 1
Al4 0.750 0.250 0.000 1
Cr1 0.251 0.749 0.500 1
Cr2 0.500 0.500 0.244 1
Cr3 0.500 0.500 0.756 1
Cr4 0.749 0.251 0.500 1
Co1 0.000 0.000 0.000 1
Co2 0.000 0.000 0.500 1
Co3 0.127 0.381 0.378 1
Co4 0.127 0.381 0.622 1
Co5 0.131 0.378 0.129 1
Co6 0.131 0.378 0.871 1
Co7 0.253 0.747 0.256 1
Co8 0.253 0.747 0.744 1
Co9 0.378 0.131 0.129 1
Co10 0.378 0.131 0.871 1
Co11 0.381 0.127 0.378 1
Co12 0.381 0.127 0.622 1
Co13 0.500 0.500 0.000 1
Co14 0.500 0.500 0.500 1
Co15 0.619 0.873 0.378 1
Co16 0.619 0.873 0.622 1
Co17 0.622 0.869 0.129 1
Co18 0.622 0.869 0.871 1
Co19 0.747 0.253 0.256 1
Co20 0.747 0.253 0.744 1
Co21 0.869 0.622 0.129 1
Co22 0.869 0.622 0.871 1
Co23 0.873 0.619 0.378 1
Co24 0.873 0.619 0.622 1
```

***

Here is crystalline AlCr4Co at its relaxed geometry from Alexandria via LeMat-Bulk. Energies are from PBEsol.

Properties
- V: 11.8 Å³/atom
- ΔE_f: 106.0 kJ/mol of formula units
- VASP energy: -8.616 eV/atom
- Total magnetization: 0.000 μB per atom
- Space group: F-43m

The structure in CIF format:
```
data_AlCr4Co
_symmetry_space_group_name_H-M 'P 1'
_symmetry_Int_Tables_number 1
_cell_length_a 4.642
_cell_length_b 4.642
_cell_length_c 4.642
_cell_angle_alpha 60.00
_cell_angle_beta 60.00
_cell_angle_gamma 60.00
loop_
_symmetry_equiv_pos_as_xyz
'x,y,z'
loop_
_atom_site_label
_atom_site_fract_x
_atom_site_fract_y
_atom_site_fract_z
_atom_site_occupancy
Al1 0.000 0.000 0.000 1
Cr1 0.121 0.626 0.626 1
Cr2 0.626 0.121 0.626 1
Cr3 0.626 0.626 0.121 1
Cr4 0.626 0.626 0.626 1
Co1 0.250 0.250 0.250 1
```

***

Here is crystalline Al2CrFeCo4 at its relaxed geometry from Alexandria via LeMat-Bulk. Energies are from PBEsol.

Properties
- V: 11.1 Å³/atom
- ΔE_f: -214.9 kJ/mol of formula units
- VASP energy: -7.571 eV/atom
- Total magnetization: 0.999 μB per atom
- Space group: R-3m

The structure in CIF format:
```
data_Al2CrFeCo4
_symmetry_space_group_name_H-M 'P 1'
_symmetry_Int_Tables_number 1
_cell_length_a 6.887
_cell_length_b 6.887
_cell_length_c 6.887
_cell_angle_alpha 33.58
_cell_angle_beta 33.58
_cell_angle_gamma 33.58
loop_
_symmetry_equiv_pos_as_xyz
'x,y,z'
loop_
_atom_site_label
_atom_site_fract_x
_atom_site_fract_y
_atom_site_fract_z
_atom_site_occupancy
Al1 0.249 0.249 0.249 1
Al2 0.751 0.751 0.751 1
Cr1 0.500 0.500 0.500 1
Fe1 0.000 0.000 0.000 1
Co1 0.125 0.125 0.125 1
Co2 0.375 0.375 0.375 1
Co3 0.625 0.625 0.625 1
Co4 0.875 0.875 0.875 1
```

***

Here is crystalline Al7Co2Cu at its relaxed geometry from Alexandria via LeMat-Bulk. Energies are from PBEsol.

Properties
- V: 14.1 Å³/atom
- ΔE_f: -288.9 kJ/mol of formula units
- VASP energy: -5.144 eV/atom
- Total magnetization: 0.000 μB per atom
- Space group: P4/mnc

The structure in CIF format:
```
data_Al7Co2Cu
_symmetry_space_group_name_H-M 'P 1'
_symmetry_Int_Tables_number 1
_cell_length_a 6.226
_cell_length_b 6.226
_cell_length_c 14.522
_cell_angle_alpha 90.00
_cell_angle_beta 90.00
_cell_angle_gamma 90.00
loop_
_symmetry_equiv_pos_as_xyz
'x,y,z'
loop_
_atom_site_label
_atom_site_fract_x
_atom_site_fract_y
_atom_site_fract_z
_atom_site_occupancy
Al1 0.000 0.000 0.112 1
Al2 0.000 0.000 0.888 1
Al3 0.095 0.295 0.408 1
Al4 0.095 0.295 0.592 1
Al5 0.150 0.650 0.250 1
Al6 0.150 0.650 0.750 1
Al7 0.205 0.405 0.092 1
Al8 0.205 0.405 0.908 1
Al9 0.295 0.905 0.408 1
Al10 0.295 0.905 0.592 1
Al11 0.350 0.150 0.250 1
Al12 0.350 0.150 0.750 1
Al13 0.405 0.795 0.092 1
Al14 0.405 0.795 0.908 1
Al15 0.500 0.500 0.388 1
Al16 0.500 0.500 0.612 1
Al17 0.595 0.205 0.092 1
Al18 0.595 0.205 0.908 1
Al19 0.650 0.850 0.250 1
Al20 0.650 0.850 0.750 1
Al21 0.705 0.095 0.408 1
Al22 0.705 0.095 0.592 1
Al23 0.795 0.595 0.092 1
Al24 0.795 0.595 0.908 1
Al25 0.850 0.350 0.250 1
Al26 0.850 0.350 0.750 1
Al27 0.905 0.705 0.408 1
Al28 0.905 0.705 0.592 1
Co1 0.088 0.710 0.000 1
Co2 0.210 0.588 0.500 1
Co3 0.290 0.088 0.000 1
Co4 0.412 0.210 0.500 1
Co5 0.588 0.790 0.500 1
Co6 0.710 0.912 0.000 1
Co7 0.790 0.412 0.500 1
Co8 0.912 0.290 0.000 1
Cu1 0.000 0.000 0.292 1
Cu2 0.000 0.000 0.708 1
Cu3 0.500 0.500 0.208 1
Cu4 0.500 0.500 0.792 1
```